1.
Density functional theory data (PBE) for KHgPt3 after structural relaxation.

```
KHgPt3
1.0
4.998 0.000 0.000
0.000 4.998 0.000
0.000 0.000 4.998
K Hg Pt
1 1 3
direct
0.000 0.000 0.000
0.500 0.500 0.500
0.000 0.000 0.500
0.000 0.500 0.000
0.500 0.000 0.000
```

The formation energy from the elements comes out at 9.5 eV/f.u. As for the density of states at the Fermi level: 5.7 states/eV per cell. The value obtained for the excess energy over the best structure of this formula in the dataset is 1031 meV per atom. As for the space-group type: No. 221.



2.
Density functional theory data (PBE) for Tl4Hg5Sb2 after structural relaxation.

```
Tl4Hg5Sb2
1.0
9.268 0.000 0.000
0.000 3.310 0.000
-0.758 0.000 10.795
Tl Hg Sb
4 5 2
direct
0.207 0.000 0.489
0.273 0.000 0.161
0.727 0.000 0.839
0.793 0.000 0.511
0.000 0.500 0.000
0.053 0.500 0.721
0.358 0.500 0.897
0.642 0.500 0.103
0.947 0.500 0.279
0.484 0.500 0.638
0.516 0.500 0.362
```

As for the density of states at the Fermi level: 4.1 states/eV per cell. Its formation energy without anion corrections is 12 meV/atom. The value obtained for the excess energy over the best structure of this formula in the dataset is 0 meV per atom. As for the space-group type: No. 10.



3.
Density functional theory data (PBE) for Li3Pr2ZnSn4 after structural relaxation.

```
Li3Pr2ZnSn4
1.0
4.461 0.000 0.000
0.000 4.461 0.000
0.000 0.000 11.423
Li Pr Zn Sn
3 2 1 4
direct
0.000 0.000 0.000
0.000 0.500 0.637
0.500 0.000 0.363
0.000 0.500 0.251
0.500 0.000 0.749
0.500 0.500 0.000
0.000 0.000 0.500
0.000 0.500 0.860
0.500 0.000 0.140
0.500 0.500 0.500
```

The formation energy from the elements comes out at -5.3 eV/f.u. As for the density of states at the Fermi level: 3.2 states/eV per cell. As for the space-group type: No. 115.